No. 1
DFT (PBE) results for an optimized crystal structure of HfSc2CrGe.

Cell lengths 5.192, 4.628, 5.192 Å; angles 90.00, 90.00, 90.00 degrees
Each line ends with the local moment (μB).
Positions (direct):
Sc1 0.000 0.000 0.500  -0.04
Sc2 0.500 0.000 0.000  -0.04
Cr1 0.000 0.500 0.000  2.74
Ge1 0.500 0.500 0.500  -0.04
Hf1 0.000 0.000 0.000  -0.10

DFT formation energy: 1076 meV per atom
Space group: No. 123

No. 2
DFT (PBE) results for an optimized crystal structure of Mn2TlAs.

Cell lengths 4.805, 4.805, 4.805 Å; angles 60.00, 60.00, 60.00 degrees
Each line ends with the local moment (μB).
Positions (direct):
As1 0.500 0.500 0.500  0.00
Mn1 0.000 0.000 0.000  3.80
Mn2 0.250 0.250 0.250  3.78
Tl1 0.750 0.750 0.750  -0.04

E above lowest polymorph: 463 meV per atom
DFT formation energy: 663 meV per atom
Space group: No. 216

No. 3
DFT (PBE) results for an optimized crystal structure of LaCuAg.

Cell lengths 4.279, 5.632, 6.483 Å; angles 75.43, 70.73, 67.67 degrees
Positions (direct):
Ag1 0.320 0.269 0.090
Ag2 0.680 0.731 0.910
Cu1 0.640 0.392 0.328
Cu2 0.360 0.608 0.672
La1 0.945 0.811 0.299
La2 0.055 0.189 0.701

E above lowest polymorph: 0 meV per atom
DFT formation energy: -241 meV per atom
Space group: No. 12

No. 4
DFT (PBE) results for an optimized crystal structure of NdTmO.

Cell lengths 4.856, 6.362, 4.856 Å; angles 112.43, 90.01, 112.43 degrees
Positions (direct):
Tm1 0.683 0.366 0.058
Tm2 0.153 0.305 0.528
O1 0.918 0.835 0.293
O2 0.668 0.336 0.542
Nd1 0.905 0.810 0.780
Nd2 0.431 0.861 0.306

E above lowest polymorph: 0 meV per atom
Space group: No. 119

No. 5
DFT (PBE) results for an optimized crystal structure of TbSm12Dy7.

Cell lengths 6.166, 11.493, 11.493 Å; angles 116.87, 100.30, 100.30 degrees
Positions (direct):
Tb1 0.000 0.000 0.000
Sm1 0.087 0.587 0.173
Sm2 0.087 0.173 0.587
Sm3 0.587 0.646 0.000
Sm4 0.413 0.000 0.354
Sm5 0.500 0.413 0.587
Sm6 0.059 0.646 0.646
Sm7 0.941 0.354 0.354
Sm8 0.500 0.587 0.413
Sm9 0.587 0.000 0.646
Sm10 0.413 0.354 0.000
Sm11 0.913 0.827 0.413
Sm12 0.913 0.413 0.827
Dy1 0.127 0.755 0.000
Dy2 0.873 0.000 0.245
Dy3 0.628 0.755 0.755
Dy4 0.500 0.000 0.000
Dy5 0.372 0.245 0.245
Dy6 0.127 0.000 0.755
Dy7 0.873 0.245 0.000

E above lowest polymorph: 0 meV per atom
DFT formation energy: 255 meV per atom
Space group: No. 166

No. 6
DFT (PBE) results for an optimized crystal structure of LiAcAlAg6.

Cell lengths 5.546, 10.148, 9.380 Å; angles 122.75, 107.20, 90.00 degrees
Positions (direct):
Li1 0.500 0.000 0.500
Li2 0.000 0.000 0.500
Ac1 0.891 0.641 0.783
Ac2 0.109 0.359 0.217
Al1 0.500 0.500 0.000
Al2 0.500 0.000 0.000
Ag1 0.555 0.805 0.109
Ag2 0.902 0.152 0.803
Ag3 0.901 0.134 0.310
Ag4 0.409 0.677 0.310
Ag5 0.409 0.134 0.310
Ag6 0.901 0.677 0.310
Ag7 0.445 0.195 0.891
Ag8 0.098 0.848 0.197
Ag9 0.099 0.866 0.690
Ag10 0.591 0.323 0.690
Ag11 0.591 0.866 0.690
Ag12 0.099 0.323 0.690

DFT formation energy: 41 meV per atom
Space group: No. 74